DFT (GGA+U) results for a relaxed Li4Nb2Co3Ni3O16 crystal.

```
Li4Nb2Co3Ni3O16
1.0
5.8176 0.0000 0.0000
-2.8712 5.1172 0.0000
-0.1841 -0.2697 9.5277
Li Nb Co Ni O
4 2 3 3 16
Direct
0.0000 0.0000 0.0000 Li
0.0016 0.9973 0.5010 Li
0.3506 0.7022 0.0937 Li
0.6713 0.3542 0.5972 Li
0.3409 0.6724 0.4975 Nb
0.6806 0.3476 0.9954 Nb
0.1695 0.8341 0.7756 Co
0.6639 0.8414 0.7784 Co
0.8302 0.6724 0.2746 Co
0.1748 0.3509 0.7796 Ni
0.3441 0.1810 0.2780 Ni
0.8388 0.1862 0.2797 Ni
0.0390 0.5514 0.6535 O
0.1530 0.3320 0.4061 O
0.1634 0.8359 0.3968 O
0.3322 0.1638 0.9066 O
0.3479 0.7028 0.8808 O
0.4782 0.9738 0.6620 O
0.4945 0.5438 0.6532 O
0.5400 0.5167 0.1526 O
0.5455 0.0639 0.1522 O
0.6675 0.8309 0.3977 O
0.6999 0.3740 0.3777 O
0.8320 0.1671 0.8994 O
0.8404 0.6798 0.8875 O
0.9762 0.5231 0.1514 O
0.9815 0.9936 0.1906 O
0.9964 0.9922 0.6906 O
```

DOS at the Fermi energy ... 0.0057 states/eV per atom
Magnetization ... 5.00 μB/cell
Total energy ... -6.215 eV/atom